# 1
K5BiO4F2, relaxed, DFT PBE; energy = -53.964 eV per cell; volume = 22.1 Å³/atom; ΔE_f (raw) = -1.7516 eV per atom; spin magnetization = 0.218 μB/cell; symmetry = Amm2, No. 38
1.0
6.4318 0.0000 0.0000
-3.2159 5.3284 0.0000
0.0000 0.0000 7.7427
F Bi O K
2 1 4 5
direct
0.3672 0.3976 0.5000
0.9696 0.6024 0.5000
0.4146 0.0000 0.0000
0.3824 0.3105 0.0000
0.6062 0.0000 0.7893
0.6062 0.0000 0.2107
0.0719 0.6895 0.0000
0.0835 0.3725 0.2467
0.7110 0.6275 0.2467
0.7110 0.6275 0.7533
0.0835 0.3725 0.7533
0.3985 0.0000 0.5000

---

# 2
K3Bi2O3F4, relaxed, DFT PBE; energy = -57.421 eV per cell; volume = 19.3 Å³/atom; ΔE_f (raw) = -2.0005 eV per atom; spin magnetization = 0.000 μB/cell; symmetry = Imm2, No. 44
1.0
4.7263 0.0000 0.0000
0.0000 4.3711 0.0000
-2.3631 -2.1856 11.2066
K F O Bi
3 4 3 2
direct
0.3637 0.3110 0.6219
0.5094 0.5000 0.0000
0.7418 0.6890 0.3781
0.6812 0.7992 0.5984
0.4289 0.9071 0.8141
0.6148 0.0929 0.1859
0.0828 0.2008 0.4016
0.1461 0.6059 0.2119
0.9343 0.3941 0.7881
0.9942 0.0000 0.0000
0.9195 0.9041 0.8082
0.1112 0.0959 0.1918

---

# 3
K4Bi2O5F, relaxed, DFT PBE; energy = -56.554 eV per cell; volume = 21.4 Å³/atom; ΔE_f (raw) = -1.4783 eV per atom; spin magnetization = 0.076 μB/cell; symmetry = Amm2, No. 38
1.0
-0.8056 4.4462 -4.2378
-5.0928 -3.4394 1.8876
-1.3061 4.8804 5.3686
O F K Bi
5 1 4 2
direct
0.3000 0.0000 0.5000
0.6962 0.5818 0.2999
0.1144 0.4182 0.7001
0.1144 0.4182 0.2999
0.6962 0.5818 0.7001
0.4230 0.0000 0.0000
0.3765 0.3736 0.0000
0.6612 0.0000 0.2699
0.6612 0.0000 0.7301
0.0029 0.6264 0.0000
0.9938 0.6278 0.5000
0.3660 0.3722 0.5000

---

# 4
KBiOF2, relaxed, DFT PBE; ΔE to the lowest computed polymorph = 0 meV per atom; energy = -23.805 eV per cell; volume = 19.9 Å³/atom; ΔE_f (raw) = -2.0252 eV per atom; spin magnetization = 0.000 μB/cell; symmetry = P4/mmm, No. 123
1.0
-4.2556 0.0645 -2.0158
0.2106 -4.6670 -0.5939
-1.9135 -0.5979 4.0204
K O F Bi
1 1 2 1
direct
0.5000 0.5000 0.5000
0.0000 0.0000 0.5000
0.0000 0.5000 0.0000
0.5000 0.0000 0.0000
0.0000 0.0000 0.0000

---

# 5
KBiOF2, relaxed, DFT PBE; ΔE to the lowest computed polymorph = 1218 meV per atom; energy = -17.713 eV per cell; volume = 18.8 Å³/atom; ΔE_f (raw) = -0.8068 eV per atom; spin magnetization = 0.000 μB/cell; symmetry = P4/mmm, No. 123
1.0
-1.5796 -3.3702 -2.4145
4.0774 -1.7305 -0.2520
-0.8088 -2.4885 4.0026
O K F Bi
1 1 2 1
direct
0.0000 0.0000 0.5000
0.0000 0.0000 0.0000
0.0000 0.5000 0.0000
0.5000 0.0000 0.0000
0.5000 0.5000 0.5000

---

# 6
KBiPbF6, relaxed, DFT PBE; energy = -84.587 eV per cell; volume = 20.8 Å³/atom; ΔE_f (raw) = -2.4865 eV per atom; spin magnetization = 0.000 μB/cell; symmetry = P-31c, No. 163
1.0
-3.9039 4.7880 -2.1644
-0.5624 -2.1499 6.1573
6.7660 6.8824 3.0211
F Bi K Pb
12 2 2 2
direct
0.0226 0.3724 0.6353
0.3724 0.3498 0.3647
0.6502 0.0226 0.3647
0.6276 0.6502 0.6353
0.9774 0.6276 0.3647
0.6502 0.6276 0.1353
0.0226 0.6502 0.8647
0.3724 0.0226 0.1353
0.6276 0.9774 0.8647
0.9774 0.3498 0.1353
0.3498 0.9774 0.6353
0.3498 0.3724 0.8647
0.3333 0.6667 0.7500
0.6667 0.3333 0.2500
0.0000 0.0000 0.5000
0.0000 0.0000 0.0000
0.6667 0.3333 0.7500
0.3333 0.6667 0.2500

---

# 7
KRb2BiF6, relaxed, DFT PBE; energy = -90.110 eV per cell; volume = 21.6 Å³/atom; ΔE_f (raw) = -2.6913 eV per atom; spin magnetization = 0.000 μB/cell; symmetry = P2_1/c, No. 14
1.0
-0.6506 4.6500 -4.7048
-4.8658 -3.7566 -3.0400
-6.6094 4.3982 5.1440
Bi F Rb K
2 12 4 2
direct
0.0000 0.5000 0.0000
0.5000 0.0000 0.5000
0.6818 0.2711 0.5608
0.7767 0.8129 0.5464
0.2233 0.1871 0.4536
0.3182 0.7289 0.4392
0.1818 0.2289 0.0608
0.8182 0.7711 0.9392
0.7233 0.3129 0.9536
0.1009 0.4542 0.7704
0.8991 0.5458 0.2296
0.6009 0.0458 0.2704
0.2767 0.6871 0.0464
0.3991 0.9542 0.7296
0.5147 0.5484 0.7529
0.0147 0.9516 0.2529
0.4853 0.4516 0.2471
0.9853 0.0484 0.7471
0.5000 0.0000 0.0000
0.0000 0.5000 0.5000

---

# 8
K2RbBiF6, relaxed, DFT PBE; energy = -90.240 eV per cell; volume = 21.3 Å³/atom; ΔE_f (raw) = -2.6849 eV per atom; spin magnetization = 0.000 μB/cell; symmetry = P2_1/c, No. 14
1.0
-2.6119 5.6785 2.0274
-4.6466 -0.3246 -5.0770
-5.9558 -4.5003 5.7386
Bi Rb F K
2 2 12 4
direct
0.0000 0.5000 0.0000
0.5000 0.0000 0.5000
0.5000 0.0000 0.0000
0.0000 0.5000 0.5000
0.2038 0.1616 0.4622
0.7962 0.8384 0.5378
0.3743 0.9082 0.7193
0.8413 0.7659 0.9048
0.3413 0.7341 0.4048
0.8743 0.5918 0.2193
0.1587 0.2341 0.0952
0.2962 0.6616 0.0378
0.7038 0.3384 0.9622
0.6587 0.2659 0.5952
0.6257 0.0918 0.2807
0.1257 0.4082 0.7807
0.0096 0.9546 0.2700
0.4904 0.4546 0.2300
0.9904 0.0454 0.7300
0.5096 0.5454 0.7700